#P
A plane-wave DFT calculation with PBE was carried out for PuTl3Br6 after structural relaxation.

Cell lengths 7.817, 8.674, 11.356 Å; angles 90.00, 86.51, 90.00 degrees
Each line ends with the local moment (μB).
Element x y z (fractional)
Br1 0.303 0.830 0.051  -0.02
Br2 0.342 0.780 0.420  -0.02
Tl1 0.500 0.500 0.000  0.00
Pu1 0.000 0.000 0.000  5.07
Br3 0.803 0.670 0.551  -0.02
Tl2 0.032 0.581 0.267  0.00
Br4 0.197 0.330 0.449  -0.02
Br5 0.842 0.720 0.920  -0.02
Br6 0.856 0.933 0.234  -0.02
Br7 0.658 0.220 0.580  -0.02
Br8 0.144 0.067 0.766  -0.02
Tl3 0.000 0.000 0.500  0.00
Tl4 0.532 0.919 0.767  0.00
Br9 0.644 0.433 0.266  -0.02
Br10 0.356 0.567 0.734  -0.02
Tl5 0.968 0.419 0.733  0.00
Br11 0.697 0.170 0.949  -0.02
Tl6 0.468 0.081 0.233  0.00
Pu2 0.500 0.500 0.500  5.07
Br12 0.158 0.280 0.080  -0.02

The value obtained for the total magnetic moment is 0.500 μB/atom. The crystal system is monoclinic.

***

#Q
A plane-wave DFT calculation with PBE was carried out for PuTl3Br6 after structural relaxation.

Cell lengths 7.693, 7.693, 8.867 Å; angles 110.42, 110.42, 101.29 degrees
Each line ends with the local moment (μB).
Element x y z (fractional)
Tl1 0.250 0.750 0.500  0.00
Br1 0.237 0.763 0.000  -0.03
Br2 0.916 0.916 0.266  -0.02
Pu1 0.000 0.000 0.000  5.07
Tl2 0.500 0.500 0.000  0.00
Br3 0.650 0.650 0.734  -0.02
Tl3 0.750 0.250 0.500  0.00
Br4 0.763 0.237 0.000  -0.03
Br5 0.350 0.350 0.266  -0.02
Br6 0.084 0.084 0.734  -0.02

The value obtained for the total magnetic moment is 0.500 μB/atom. The crystal system is orthorhombic.

***

Most stable: #P. Least stable: #Q.

***

#P
A plane-wave DFT calculation with PBE was carried out for TmPuBr6 after structural relaxation.

Cell lengths 7.065, 7.064, 7.720 Å; angles 62.75, 62.75, 60.00 degrees
Each line ends with the local moment (μB).
Element x y z (fractional)
Br1 0.746 0.101 0.742  -0.03
Tm1 0.500 0.500 0.500  0.01
Br2 0.410 0.746 0.742  -0.03
Br3 0.101 0.410 0.742  -0.03
Br4 0.899 0.590 0.258  -0.03
Br5 0.254 0.899 0.258  -0.03
Br6 0.590 0.254 0.258  -0.03
Pu1 0.000 0.000 0.000  5.07

The value obtained for the total magnetic moment is 0.625 μB/atom. The crystal system is trigonal.

***

#Q
A plane-wave DFT calculation with PBE was carried out for TmPuBr6 after structural relaxation.

Cell lengths 7.352, 7.352, 7.397 Å; angles 92.64, 92.64, 118.77 degrees
Each line ends with the local moment (μB).
Element x y z (fractional)
Br1 0.711 0.711 0.212  -0.03
Pu1 0.000 0.000 0.500  5.07
Br2 0.707 0.003 0.749  -0.03
Br3 0.003 0.707 0.749  -0.03
Br4 0.997 0.293 0.251  -0.03
Br5 0.293 0.997 0.251  -0.03
Br6 0.289 0.289 0.788  -0.03
Tm1 0.000 0.000 0.000  0.02

The value obtained for the total magnetic moment is 0.625 μB/atom. The crystal system is monoclinic.

***

Most stable: #Q. Least stable: #P.

***

#P
A plane-wave DFT calculation with PBE was carried out for RbRe2Br2 after structural relaxation.

Cell lengths 9.368, 9.368, 3.014 Å; angles 90.00, 90.00, 90.00 degrees
Element x y z (fractional)
Rb1 0.500 0.500 0.000
Re1 0.414 0.914 0.000
Br1 0.748 0.752 0.500
Br2 0.752 0.252 0.500
Br3 0.248 0.748 0.500
Re2 0.586 0.086 0.000
Re3 0.086 0.414 0.000
Br4 0.252 0.248 0.500
Re4 0.914 0.586 0.000
Rb2 0.000 0.000 0.000

The value obtained for the total magnetic moment is 0.000 μB/atom. The crystal system is tetragonal.

***

#Q
A plane-wave DFT calculation with PBE was carried out for RbRe2Br2 after structural relaxation.

Cell lengths 5.155, 5.155, 6.501 Å; angles 66.64, 66.64, 90.00 degrees
Each line ends with the local moment (μB).
Element x y z (fractional)
Re1 0.403 0.403 0.195  0.43
Br1 0.250 0.750 0.500  0.00
Rb1 0.000 0.000 0.000  0.00
Re2 0.597 0.597 0.805  0.43
Br2 0.750 0.250 0.500  0.00

The value obtained for the total magnetic moment is 0.204 μB/atom. The crystal system is tetragonal.

***

Most stable: #Q. Least stable: #P.